VASP calculation (PBE) on an optimized crystal structure of Nb2PdSe5.

Unit cell a=6.513 b=6.513 c=12.620 alpha=90.00 beta=90.00 gamma=133.60
Fractional positions:
Nb 0.176 0.824 0.549
Nb 0.176 0.824 0.951
Nb 0.824 0.176 0.049
Nb 0.824 0.176 0.451
Pd 0.189 0.811 0.250
Pd 0.811 0.189 0.750
Se 0.044 0.956 0.105
Se 0.044 0.956 0.395
Se 0.261 0.739 0.750
Se 0.333 0.667 0.091
Se 0.333 0.667 0.409
Se 0.667 0.333 0.591
Se 0.667 0.333 0.909
Se 0.739 0.261 0.250
Se 0.956 0.044 0.605
Se 0.956 0.044 0.895

Results
E_tot in eV/cell: -93.044
Space-group type: Cmcm (63)
E_form (uncorrected) in eV per atom: -0.47